Below is an optimized crystal structure of ZrCoNiB, with properties calculated at the PBE level.

a = 4.106 Å, b = 4.106 Å, c = 4.106 Å
α = 60.00°, β = 60.00°, γ = 60.00°
Site moments in Bohr magnetons follow the coordinates.
Fractional positions:
B 0.000 0.000 0.000  -0.01
Co 0.750 0.750 0.750  0.96
Ni 0.500 0.500 0.500  0.17
Zr 0.250 0.250 0.250  -0.01

The calculation puts the total magnetic moment at 1.11 μB/f.u. The calculated volume comes out at 12.2 Å³/atom. As for the excess energy over the best structure of this formula in the dataset: 0.0000 eV/atom.

Below is an optimized crystal structure of KZrCdTe3, with properties calculated at the PBE level.

a = 9.153 Å, b = 4.259 Å, c = 10.886 Å
α = 90.00°, β = 110.46°, γ = 90.00°
Site moments in Bohr magnetons follow the coordinates.
Fractional positions:
Cd 0.577 0.750 0.113  0.01
Cd 0.423 0.250 0.887  0.01
K 0.281 0.250 0.225  0.00
K 0.719 0.750 0.775  0.00
Te 0.760 0.250 0.065  0.01
Te 0.056 0.750 0.344  -0.01
Te 0.616 0.750 0.378  0.00
Te 0.384 0.250 0.622  0.00
Te 0.944 0.250 0.656  -0.01
Te 0.240 0.750 0.935  0.01
Zr 0.851 0.250 0.376  0.28
Zr 0.149 0.750 0.624  0.28

Its uncorrected energy is -49.06 eV for the cell shown. The calculation puts the total magnetic moment at 0.47 μB/f.u. The calculated volume comes out at 33.1 Å³/atom.

Below is an optimized crystal structure of NdAgSnSe2S, with properties calculated at the PBE level.

a = 7.111 Å, b = 7.111 Å, c = 10.621 Å
α = 90.00°, β = 90.00°, γ = 145.84°
Fractional positions:
Ag 0.025 0.975 0.250
Ag 0.975 0.025 0.750
Nd 0.500 0.500 0.000
Nd 0.500 0.500 0.500
S 0.410 0.590 0.250
S 0.590 0.410 0.750
Se 0.150 0.850 0.062
Se 0.150 0.850 0.438
Se 0.850 0.150 0.562
Se 0.850 0.150 0.938
Sn 0.754 0.246 0.250
Sn 0.246 0.754 0.750

Its uncorrected energy is -56.34 eV for the cell shown. The calculation puts the total magnetic moment at 0.00 μB/f.u. The calculated volume comes out at 25.1 Å³/atom.